The following is a DFT calculation (PBE) of a relaxed Ti5Zn2Au4 crystal.

abc: 7.2276 2.9450 8.9025
angles: 90.00 96.08 90.00
Sites, in units of the cell vectors:
Ti 0.0000 0.0000 0.0000
Ti 0.0320 0.0000 0.3167
Ti 0.3272 0.0000 0.8607
Ti 0.6728 0.0000 0.1393
Ti 0.9680 0.0000 0.6833
Zn 0.4235 0.0000 0.3661
Zn 0.5765 0.0000 0.6339
Au 0.2481 0.5000 0.5748
Au 0.3035 0.5000 0.1289
Au 0.6965 0.5000 0.8711
Au 0.7519 0.5000 0.4252

Properties
M_tot, μB per formula unit: 4.96
Energy of formation, eV/atom: -0.171